Material: Ta2BeAg
Method: DFT, GGA-PBE
State: relaxed

Lattice parameters (Å, degrees): 5.229 5.229 5.229 142.77 131.92 62.34
Element x y z (fractional)
Be1 0.250 0.750 0.500
Ag1 0.750 0.250 0.500
Ta1 0.014 0.014 0.000
Ta2 0.486 0.486 0.000

**Space-group type**: Immm, No. 71
**Volume**: 15.9 A^3/atom
**Mass density**: 12.495 Mg/m³
**Energy relative to the elements**: 0.31 eV/atom

=====

Material: Ta2BeAg
Method: DFT, GGA-PBE
State: relaxed

Lattice parameters (Å, degrees): 6.280 4.897 2.855 89.92 63.11 120.62
Element x y z (fractional)
Be1 0.500 0.500 0.000
Ta1 0.000 0.000 0.000
Ag1 0.000 0.500 0.500
Ta2 0.500 0.000 0.500

**Space-group type**: C2/m, No. 12
**Volume**: 16.1 A^3/atom
**Mass density**: 12.373 Mg/m³
**Energy relative to the elements**: 0.34 eV/atom

=====

Q: What is the formula in the second record?
A: Ta2BeAg

=====

Q: Number 2 is which compound?
A: Ta2BeAg

=====

What did the second record say?
Material: Ta2BeAg
Method: DFT, GGA-PBE
State: relaxed

Lattice parameters (Å, degrees): 6.280 4.897 2.855 89.92 63.11 120.62
Element x y z (fractional)
Be1 0.500 0.500 0.000
Ta1 0.000 0.000 0.000
Ag1 0.000 0.500 0.500
Ta2 0.500 0.000 0.500

**Space-group type**: C2/m, No. 12
**Volume**: 16.1 A^3/atom
**Mass density**: 12.373 Mg/m³
**Energy relative to the elements**: 0.34 eV/atom